LaReCl2: PBEsol geometry, meta-GGA SCAN.

Magnetization   0.0000 μB per atom
Offset from the most stable computed form   0.2483 eV/atom
Raw formation energy   -1.22 eV/f.u.

Lattice parameters (Å, degrees): 3.1825 3.1825 8.4197 90.00 90.00 90.00
Last column: nearest neighbours and their distance in Å.
Fractional positions:
La  0.0000  0.0000  0.0000  4 Cl 2.92, 4 La 3.18, 4 Re 3.22
Re  0.5000  0.5000  0.7273  4 Cl 2.54
Cl  0.0000  0.0000  0.5864  4 Re 2.54
Cl  0.5000  0.5000  0.2212  4 La 2.92, 4 Cl 3.18

Zr2InTc: PBEsol geometry, meta-GGA SCAN.

Calculated formation energy   -0.511 eV/atom
Magnetization   0.0003 μB per atom
Offset from the most stable computed form   0.0000 eV/atom

Lattice parameters (Å, degrees): 3.3036 3.3036 7.0769 90.00 90.00 90.00
Last column: nearest neighbours and their distance in Å.
Fractional positions:
Zr  0.0000  0.0000  0.2180  4 Tc 2.80, 4 In 3.07, 1 Zr 3.09
Zr  0.0000  0.0000  0.7820  4 Tc 2.80, 4 In 3.07, 1 Zr 3.09
In  0.5000  0.5000  0.5000  8 Zr 3.07, 4 In 3.30
Tc  0.5000  0.5000  0.0000  8 Zr 2.80

LiTcAg2: PBEsol geometry, meta-GGA SCAN.

Calculated formation energy   0.463 eV/atom
Magnetization   0.6538 μB per atom
Offset from the most stable computed form   0.2156 eV/atom

Lattice parameters (Å, degrees): 4.4457 4.4457 4.4457 60.00 60.00 60.00
Last column: nearest neighbours and their distance in Å.
Fractional positions:
Li  0.0000  0.0000  0.0000  8 Ag 2.72
Tc  0.5000  0.5000  0.5000  8 Ag 2.72
Ag  0.2500  0.2500  0.2500  4 Tc 2.72, 4 Li 2.72
Ag  0.7500  0.7500  0.7500  4 Tc 2.72, 4 Li 2.72

Y2FeRh: PBEsol geometry, meta-GGA SCAN.

Calculated formation energy   -0.338 eV/atom
Magnetization   0.4172 μB per atom

Lattice parameters (Å, degrees): 7.0611 7.0611 7.0611 33.04 33.04 33.04
Last column: nearest neighbours and their distance in Å.
Fractional positions:
Y  0.0000  0.0000  0.0000  3 Rh 2.91, 3 Fe 2.98
Y  0.1818  0.1818  0.1818  3 Fe 2.91, 3 Rh 2.99
Fe  0.7605  0.7605  0.7605  3 Rh 2.32
Rh  0.4210  0.4210  0.4210  3 Fe 2.32

CsBe2Au: PBEsol geometry, meta-GGA SCAN.

Calculated formation energy   1.237 eV/atom
Magnetization   0.0000 μB per atom

Lattice parameters (Å, degrees): 4.9240 4.9240 4.9240 60.00 60.00 60.00
Last column: nearest neighbours and their distance in Å.
Fractional positions:
Cs  0.0000  0.0000  0.0000  8 Be 3.02
Be  0.2500  0.2500  0.2500  4 Au 3.02, 4 Cs 3.02
Be  0.7500  0.7500  0.7500  4 Cs 3.02, 4 Au 3.02
Au  0.5000  0.5000  0.5000  8 Be 3.02

AlCuPt: PBEsol geometry, meta-GGA SCAN.

Calculated formation energy   -0.754 eV/atom
Magnetization   0.0000 μB per atom

Lattice parameters (Å, degrees): 4.6632 4.6632 4.6632 145.30 135.62 57.53
Last column: nearest neighbours and their distance in Å.
Fractional positions:
Al  0.0000  0.0000  0.0000  5 Cu 2.60-2.77, 5 Pt 2.61-2.76, 2 Al 2.78
Cu  0.3393  0.3393  0.0000  5 Al 2.60-2.77, 5 Pt 2.64-2.67, 2 Cu 2.78
Pt  0.6628  0.6628  0.0000  5 Al 2.61-2.76, 5 Cu 2.64-2.67, 2 Pt 2.78